Density functional theory data (PBE) for a geometry-optimized Pr5Cd2Sn5 structure.

```
data_Pr5Cd2Sn5
_chemical_formula_sum 'Pr10 Cd4 Sn10'
_cell_length_a 16.6554
_cell_length_b 4.8113
_cell_length_c 11.1191
_cell_angle_alpha 90.00
_cell_angle_beta 128.63
_cell_angle_gamma 90.00
_symmetry_space_group_name_H-M 'C 1 2/m 1'
_symmetry_Int_Tables_number 12
loop_
_symmetry_equiv_pos_as_xyz
'x,y,z'
'-x,-y,-z'
'-x,y,-z'
'x,-y,z'
'x+1/2,y+1/2,z'
'-x+1/2,-y+1/2,-z'
'-x+1/2,y+1/2,-z'
'x+1/2,-y+1/2,z'
loop_
_atom_site_label
_atom_site_fract_x
_atom_site_fract_y
_atom_site_fract_z
Pr1 0.0000 0.0000 0.0000
Pr2 0.1024 0.0000 0.4170
Pr3 0.1900 0.0000 0.8283
Cd1 0.1424 0.5000 0.2439
Sn1 0.0000 0.5000 0.5000
Sn2 0.0676 0.5000 0.8623
Sn3 0.2379 0.5000 0.6731
```

Computed properties:
Uncorrected energy = -4.44 eV per atom

***

Density functional theory data (PBE) for a geometry-optimized Pr7CdSn5 structure.

```
data_Pr7CdSn5
_chemical_formula_sum 'Pr14 Cd2 Sn10'
_cell_length_a 6.5247
_cell_length_b 11.3997
_cell_length_c 11.0241
_cell_angle_alpha 90.00
_cell_angle_beta 90.00
_cell_angle_gamma 90.00
_symmetry_space_group_name_H-M 'I m m 2'
_symmetry_Int_Tables_number 44
loop_
_symmetry_equiv_pos_as_xyz
'x,y,z'
'-x,-y,z'
'-x,y,z'
'x,-y,z'
'x+1/2,y+1/2,z+1/2'
'-x+1/2,-y+1/2,z+1/2'
'-x+1/2,y+1/2,z+1/2'
'x+1/2,-y+1/2,z+1/2'
loop_
_atom_site_label
_atom_site_fract_x
_atom_site_fract_y
_atom_site_fract_z
Pr1 0.0000 0.0000 0.0000
Pr2 0.0000 0.0000 0.3723
Pr3 0.0000 0.3314 0.6388
Pr4 0.0000 0.3333 0.1221
Pr5 0.0000 0.5000 0.3569
Cd1 0.0000 0.0000 0.6794
Sn1 0.0000 0.5000 0.8786
Sn2 0.2493 0.2428 0.8850
```

Computed properties:
Uncorrected energy = -4.66 eV per atom

***

Density functional theory data (PBE) for a geometry-optimized Pr2Cd2Sn structure.

```
data_Pr2Cd2Sn
_chemical_formula_sum 'Pr8 Cd8 Sn4'
_cell_length_a 11.6158
_cell_length_b 4.7800
_cell_length_c 11.4574
_cell_angle_alpha 90.00
_cell_angle_beta 115.17
_cell_angle_gamma 90.00
_symmetry_space_group_name_H-M 'C 1 2/m 1'
_symmetry_Int_Tables_number 12
loop_
_symmetry_equiv_pos_as_xyz
'x,y,z'
'-x,-y,-z'
'-x,y,-z'
'x,-y,z'
'x+1/2,y+1/2,z'
'-x+1/2,-y+1/2,-z'
'-x+1/2,y+1/2,-z'
'x+1/2,-y+1/2,z'
loop_
_atom_site_label
_atom_site_fract_x
_atom_site_fract_y
_atom_site_fract_z
Pr1 0.0118 0.0000 0.3316
Pr2 0.1821 0.0000 0.0994
Cd1 0.0354 0.5000 0.8886
Cd2 0.1395 0.5000 0.5527
Sn1 0.2202 0.5000 0.3234
```

Computed properties:
Uncorrected energy = -3.51 eV per atom

***

Density functional theory data (PBE) for a geometry-optimized Pr2Cd2Sn structure.

```
data_Pr2Cd2Sn
_chemical_formula_sum 'Pr4 Cd4 Sn2'
_cell_length_a 10.7853
_cell_length_b 4.5453
_cell_length_c 6.3008
_cell_angle_alpha 90.00
_cell_angle_beta 95.06
_cell_angle_gamma 90.00
_symmetry_space_group_name_H-M 'C 1 2/m 1'
_symmetry_Int_Tables_number 12
loop_
_symmetry_equiv_pos_as_xyz
'x,y,z'
'-x,-y,-z'
'-x,y,-z'
'x,-y,z'
'x+1/2,y+1/2,z'
'-x+1/2,-y+1/2,-z'
'-x+1/2,y+1/2,-z'
'x+1/2,-y+1/2,z'
loop_
_atom_site_label
_atom_site_fract_x
_atom_site_fract_y
_atom_site_fract_z
Pr1 0.2015 0.0000 0.2159
Cd1 0.0881 0.0000 0.6892
Sn1 0.0000 0.5000 0.0000
```

Computed properties:
Uncorrected energy = -3.38 eV per atom

***

For the records above, the corresponding ΔE_f values read -0.6263; -0.4716; -0.4364; -0.3053 eV/atom.
For the records above, the corresponding D(E_F) values read 5.53; 12.66; 4.49; 4.03 states/eV/f.u..
For the records above, the corresponding calculated volume values read 348; 410; 144; 154 Å³/f.u..